(1)
Crystalline ZnSn2Cl6 at its relaxed geometry, computed with GGA-PBE.

Cell and atoms, written as POSCAR:
```
ZnSn2Cl6
1.0
-0.626 5.780 -0.849
-1.195 -4.552 -9.712
-8.076 -2.910 6.541
Zn Sn Cl
2 4 12
Direct
0.250 0.183 0.817
0.750 0.817 0.183
0.598 0.543 0.744
0.902 0.256 0.457
0.402 0.457 0.256
0.098 0.744 0.543
0.543 0.727 0.574
0.957 0.426 0.273
0.457 0.273 0.426
0.043 0.574 0.727
0.121 0.877 0.373
0.379 0.627 0.123
0.879 0.123 0.627
0.621 0.373 0.877
0.861 0.783 0.987
0.639 0.013 0.217
0.139 0.217 0.013
0.361 0.987 0.783
```

## Properties
Space-group type: No. 15
DOS(E_F) in states/eV per atom: 0.00
E_form (uncorrected) in eV per formula unit: -9.2

(2)
Crystalline Zn2SnCl at its relaxed geometry, computed with GGA-PBE.

Cell and atoms, written as POSCAR:
```
Zn2SnCl
1.0
6.145 0.000 0.000
0.000 6.145 0.000
3.072 3.072 6.012
Zn Sn Cl
4 2 2
Direct
0.624 0.125 0.250
0.126 0.625 0.250
0.375 0.376 0.750
0.875 0.874 0.750
0.000 0.000 0.000
0.750 0.250 0.500
0.500 0.500 0.000
0.250 0.750 0.500
```

## Properties
Space-group type: No. 122
DOS(E_F) in states/eV per atom: 0.47
E_form (uncorrected) in eV per formula unit: -0.4
Excess energy over the best structure of this formula in the dataset in eV/atom: 0.000

(3)
Crystalline Zn3SnCl at its relaxed geometry, computed with GGA-PBE.

Cell and atoms, written as POSCAR:
```
Zn3SnCl
1.0
-2.187 0.882 -4.677
-1.243 -5.074 -0.375
-4.594 0.954 2.328
Zn Sn Cl
3 1 1
Direct
0.000 0.500 0.000
0.000 0.000 0.500
0.500 0.000 0.000
0.000 0.000 0.000
0.500 0.500 0.500
```

## Properties
Space-group type: No. 221
DOS(E_F) in states/eV per atom: 0.21
E_form (uncorrected) in eV per formula unit: 0.4
Excess energy over the best structure of this formula in the dataset in eV/atom: 0.000

(4)
Crystalline Zn2Sn2Cl at its relaxed geometry, computed with GGA-PBE.

Cell and atoms, written as POSCAR:
```
Zn2Sn2Cl
1.0
-2.302 5.956 -5.240
-7.014 1.021 4.241
1.505 2.288 1.939
Zn Sn Cl
4 4 2
Direct
0.390 0.890 0.000
0.890 0.610 0.000
0.610 0.110 0.000
0.110 0.390 0.000
0.193 0.693 0.500
0.693 0.807 0.500
0.807 0.307 0.500
0.307 0.193 0.500
0.000 0.000 0.000
0.500 0.500 0.000
```

## Properties
Space-group type: No. 127
DOS(E_F) in states/eV per atom: 0.24
E_form (uncorrected) in eV per formula unit: -0.1

(5)
Crystalline Zn2SnCl6 at its relaxed geometry, computed with GGA-PBE.

Cell and atoms, written as POSCAR:
```
Zn2SnCl6
1.0
-4.252 4.700 2.289
-7.689 -3.808 -2.598
-1.679 -3.559 8.055
Zn Sn Cl
4 2 12
Direct
0.194 0.617 0.773
0.306 0.227 0.383
0.806 0.383 0.227
0.694 0.773 0.617
0.250 0.123 0.877
0.750 0.877 0.123
0.392 0.712 0.566
0.108 0.434 0.288
0.608 0.288 0.434
0.892 0.566 0.712
0.873 0.856 0.395
0.627 0.605 0.144
0.127 0.144 0.605
0.373 0.395 0.856
0.149 0.786 0.961
0.351 0.039 0.214
0.851 0.214 0.039
0.649 0.961 0.786
```

## Properties
Space-group type: No. 15
DOS(E_F) in states/eV per atom: 0.00
E_form (uncorrected) in eV per formula unit: -9.7

(6)
Crystalline Zn2SnCl at its relaxed geometry, computed with GGA-PBE.

Cell and atoms, written as POSCAR:
```
Zn2SnCl
1.0
0.000 3.525 3.525
3.525 0.000 3.525
3.525 3.525 0.000
Zn Sn Cl
2 1 1
Direct
0.250 0.250 0.250
0.750 0.750 0.750
0.500 0.500 0.500
0.000 0.000 0.000
```

## Properties
Space-group type: No. 225
DOS(E_F) in states/eV per atom: 0.92
E_form (uncorrected) in eV per formula unit: 0.5
Excess energy over the best structure of this formula in the dataset in eV/atom: 0.231

(7)
Crystalline ZnSnCl4 at its relaxed geometry, computed with GGA-PBE.

Cell and atoms, written as POSCAR:
```
ZnSnCl4
1.0
5.987 -0.105 0.000
-1.158 5.927 0.000
-2.415 -2.911 10.472
Zn Sn Cl
2 2 8
Direct
0.874 0.124 0.247
0.126 0.876 0.753
0.339 0.589 0.178
0.661 0.411 0.822
0.339 0.071 0.637
0.999 0.847 0.124
0.201 0.433 0.363
0.375 0.722 0.876
0.661 0.929 0.363
0.799 0.567 0.637
0.001 0.153 0.876
0.625 0.278 0.124
```

## Properties
Space-group type: No. 15
DOS(E_F) in states/eV per atom: 0.00
E_form (uncorrected) in eV per formula unit: -6.2

(8)
Crystalline ZnSn3Cl at its relaxed geometry, computed with GGA-PBE.

Cell and atoms, written as POSCAR:
```
ZnSn3Cl
1.0
5.404 0.000 0.000
0.000 5.404 0.000
0.000 0.000 5.404
Zn Sn Cl
1 3 1
Direct
0.500 0.500 0.500
0.000 0.500 0.000
0.000 0.000 0.500
0.500 0.000 0.000
0.000 0.000 0.000
```

## Properties
Space-group type: No. 221
DOS(E_F) in states/eV per atom: 0.61
E_form (uncorrected) in eV per formula unit: 2.7
Excess energy over the best structure of this formula in the dataset in eV/atom: 0.298

(9)
Crystalline ZnSn2Cl at its relaxed geometry, computed with GGA-PBE.

Cell and atoms, written as POSCAR:
```
ZnSn2Cl
1.0
0.000 3.594 3.594
3.594 0.000 3.594
3.594 3.594 0.000
Zn Sn Cl
1 2 1
Direct
0.500 0.500 0.500
0.250 0.250 0.250
0.750 0.750 0.750
0.000 0.000 0.000
```

## Properties
Space-group type: No. 225
DOS(E_F) in states/eV per atom: 0.77
E_form (uncorrected) in eV per formula unit: 0.0
Excess energy over the best structure of this formula in the dataset in eV/atom: 0.000

(10)
Crystalline Zn3SnCl at its relaxed geometry, computed with GGA-PBE.

Cell and atoms, written as POSCAR:
```
Zn3SnCl
1.0
4.978 0.000 0.000
0.000 4.978 0.000
0.000 0.000 4.978
Zn Sn Cl
3 1 1
Direct
0.000 0.500 0.000
0.000 0.000 0.500
0.500 0.000 0.000
0.500 0.500 0.500
0.000 0.000 0.000
```

## Properties
Space-group type: No. 221
DOS(E_F) in states/eV per atom: 0.78
E_form (uncorrected) in eV per formula unit: 2.3
Excess energy over the best structure of this formula in the dataset in eV/atom: 0.384

(11)
Crystalline ZnSn3Cl at its relaxed geometry, computed with GGA-PBE.

Cell and atoms, written as POSCAR:
```
ZnSn3Cl
1.0
5.305 0.000 0.000
0.000 5.305 0.000
0.000 0.000 5.305
Zn Sn Cl
1 3 1
Direct
0.000 0.000 0.000
0.000 0.500 0.000
0.000 0.000 0.500
0.500 0.000 0.000
0.500 0.500 0.500
```

## Properties
Space-group type: No. 221
DOS(E_F) in states/eV per atom: 1.06
E_form (uncorrected) in eV per formula unit: 1.2
Excess energy over the best structure of this formula in the dataset in eV/atom: 0.000

(12)
Crystalline ZrZnSn2Cl at its relaxed geometry, computed with GGA-PBE.

Cell and atoms, written as POSCAR:
```
ZrZnSn2Cl
1.0
-4.695 1.319 -1.274
-1.929 -4.032 2.932
-0.238 3.035 4.017
Zn Sn Zr Cl
1 2 1 1
Direct
0.000 0.000 0.000
0.000 0.000 0.500
0.500 0.000 0.000
0.000 0.500 0.000
0.500 0.500 0.500
```

## Properties
Space-group type: No. 123
DOS(E_F) in states/eV per atom: 1.10
E_form (uncorrected) in eV per formula unit: 2.0

(13)
Crystalline ZrSn2Cl8 at its relaxed geometry, computed with GGA-PBE.

Cell and atoms, written as POSCAR:
```
ZrSn2Cl8
1.0
-6.205 -2.205 -0.440
-1.563 -3.182 6.591
-4.274 5.072 3.466
Sn Zr Cl
2 1 8
Direct
0.474 0.330 0.330
0.526 0.670 0.670
0.000 0.000 0.000
0.240 0.669 0.047
0.760 0.953 0.331
0.231 0.120 0.120
0.769 0.880 0.880
0.240 0.047 0.669
0.760 0.331 0.953
0.775 0.421 0.421
0.225 0.579 0.579
```

## Properties
Space-group type: No. 12
DOS(E_F) in states/eV per atom: 0.00
E_form (uncorrected) in eV per formula unit: -14.6

(14)
Crystalline ZrSn3Cl at its relaxed geometry, computed with GGA-PBE.

Cell and atoms, written as POSCAR:
```
ZrSn3Cl
1.0
5.623 0.000 0.000
0.000 5.623 0.000
0.000 0.000 5.623
Sn Zr Cl
3 1 1
Direct
0.000 0.500 0.000
0.000 0.000 0.500
0.500 0.000 0.000
0.000 0.000 0.000
0.500 0.500 0.500
```

## Properties
Space-group type: No. 221
DOS(E_F) in states/eV per atom: 1.09
E_form (uncorrected) in eV per formula unit: 1.1
Excess energy over the best structure of this formula in the dataset in eV/atom: 0.000

(15)
Crystalline Zr3SnCl at its relaxed geometry, computed with GGA-PBE.

Cell and atoms, written as POSCAR:
```
Zr3SnCl
1.0
-1.106 -4.182 2.104
2.269 -2.370 -3.517
4.094 0.183 2.518
Sn Zr Cl
1 3 1
Direct
0.500 0.500 0.500
0.000 0.500 0.000
0.000 0.000 0.500
0.500 0.000 0.000
0.000 0.000 0.000
```

## Properties
Space-group type: No. 221
DOS(E_F) in states/eV per atom: 1.44
E_form (uncorrected) in eV per formula unit: -0.8
Excess energy over the best structure of this formula in the dataset in eV/atom: 0.000

(16)
Crystalline ZrSnCl3 at its relaxed geometry, computed with GGA-PBE.

Cell and atoms, written as POSCAR:
```
ZrSnCl3
1.0
5.097 0.000 0.000
0.000 5.097 0.000
0.000 0.000 5.097
Sn Zr Cl
1 1 3
Direct
0.500 0.500 0.500
0.000 0.000 0.000
0.000 0.500 0.000
0.000 0.000 0.500
0.500 0.000 0.000
```

## Properties
Space-group type: No. 221
DOS(E_F) in states/eV per atom: 0.92
E_form (uncorrected) in eV per formula unit: -3.5
Excess energy over the best structure of this formula in the dataset in eV/atom: 0.000

(17)
Crystalline ZrSn2Cl at its relaxed geometry, computed with GGA-PBE.

Cell and atoms, written as POSCAR:
```
ZrSn2Cl
1.0
-0.319 0.120 5.180
-3.865 -2.480 2.421
0.991 -4.283 2.762
Sn Zr Cl
2 1 1
Direct
0.250 0.250 0.250
0.750 0.750 0.750
0.500 0.500 0.500
0.000 0.000 0.000
```

## Properties
Space-group type: No. 225
DOS(E_F) in states/eV per atom: 1.46
E_form (uncorrected) in eV per formula unit: 0.5
Excess energy over the best structure of this formula in the dataset in eV/atom: 0.166

(18)
Crystalline ZrSnCl3 at its relaxed geometry, computed with GGA-PBE.

Cell and atoms, written as POSCAR:
```
ZrSnCl3
1.0
5.484 0.000 0.000
0.000 5.484 0.000
0.000 0.000 5.484
Sn Zr Cl
1 1 3
Direct
0.000 0.000 0.000
0.500 0.500 0.500
0.000 0.500 0.000
0.000 0.000 0.500
0.500 0.000 0.000
```

## Properties
Space-group type: No. 221
DOS(E_F) in states/eV per atom: 1.27
E_form (uncorrected) in eV per formula unit: 0.0
Excess energy over the best structure of this formula in the dataset in eV/atom: 0.703

(19)
Crystalline ZrSn2Cl at its relaxed geometry, computed with GGA-PBE.

Cell and atoms, written as POSCAR:
```
ZrSn2Cl
1.0
4.150 0.000 0.000
0.000 4.150 0.000
2.075 2.075 11.400
Sn Zr Cl
4 2 2
Direct
0.635 0.125 0.250
0.115 0.625 0.250
0.375 0.365 0.750
0.875 0.885 0.750
0.000 0.000 0.000
0.750 0.250 0.500
0.500 0.500 0.000
0.250 0.750 0.500
```

## Properties
Space-group type: No. 122
DOS(E_F) in states/eV per atom: 0.88
E_form (uncorrected) in eV per formula unit: -0.2
Excess energy over the best structure of this formula in the dataset in eV/atom: 0.000

(20)
Crystalline ZrSn3Cl at its relaxed geometry, computed with GGA-PBE.

Cell and atoms, written as POSCAR:
```
ZrSn3Cl
1.0
-3.378 2.754 -2.850
-0.852 -4.162 -3.011
-3.870 -1.487 3.151
Sn Zr Cl
3 1 1
Direct
0.000 0.500 0.000
0.000 0.000 0.500
0.500 0.000 0.000
0.500 0.500 0.500
0.000 0.000 0.000
```

## Properties
Space-group type: No. 221
DOS(E_F) in states/eV per atom: 0.69
E_form (uncorrected) in eV per formula unit: 2.5
Excess energy over the best structure of this formula in the dataset in eV/atom: 0.284

(21)
Crystalline ZrSnCl6 at its relaxed geometry, computed with GGA-PBE.

Cell and atoms, written as POSCAR:
```
ZrSnCl6
1.0
6.631 0.000 0.000
0.000 11.964 -0.029
0.000 0.594 18.728
Sn Zr Cl
6 6 36
Direct
0.990 0.313 0.332
0.010 0.313 0.832
0.507 0.843 0.836
0.493 0.843 0.336
0.491 0.167 0.172
0.509 0.167 0.672
0.476 0.504 0.004
0.524 0.504 0.504
0.990 0.672 0.165
0.010 0.672 0.665
0.981 0.993 0.498
0.019 0.993 0.998
0.149 0.164 0.247
0.851 0.164 0.747
0.677 0.687 0.232
0.323 0.687 0.732
0.323 0.982 0.069
0.677 0.982 0.569
0.352 0.355 0.447
0.648 0.355 0.947
0.845 0.847 0.414
0.155 0.847 0.914
0.140 0.830 0.572
0.860 0.830 0.072
0.346 0.319 0.761
0.654 0.319 0.261
0.856 0.824 0.728
0.144 0.824 0.228
0.826 0.144 0.420
0.174 0.144 0.920
0.355 0.654 0.436
0.645 0.654 0.936
0.813 0.504 0.427
0.187 0.504 0.927
0.296 0.998 0.422
0.704 0.998 0.922
0.869 0.131 0.073
0.131 0.131 0.573
0.295 0.662 0.080
0.705 0.662 0.580
0.648 0.004 0.254
0.352 0.004 0.754
0.867 0.529 0.742
0.133 0.529 0.242
0.336 0.376 0.096
0.664 0.376 0.596
0.803 0.529 0.090
0.197 0.529 0.590
```

## Properties
Space-group type: No. 7
DOS(E_F) in states/eV per atom: 0.00
E_form (uncorrected) in eV per formula unit: -11.7
Excess energy over the best structure of this formula in the dataset in eV/atom: 0.018

(22)
Crystalline ZrSnCl6 at its relaxed geometry, computed with GGA-PBE.

Cell and atoms, written as POSCAR:
```
ZrSnCl6
1.0
-0.165 4.532 5.310
-5.433 -0.958 -4.280
-0.697 -5.590 3.583
Zr Sn Cl
1 1 6
Direct
0.500 0.500 0.500
0.000 0.000 0.000
0.576 0.861 0.726
0.861 0.576 0.726
0.139 0.424 0.274
0.424 0.139 0.274
0.263 0.263 0.728
0.737 0.737 0.272
```

## Properties
Space-group type: No. 12
DOS(E_F) in states/eV per atom: 0.00
E_form (uncorrected) in eV per formula unit: -11.8
Excess energy over the best structure of this formula in the dataset in eV/atom: 0.000

(23)
Crystalline ZrSnCl6 at its relaxed geometry, computed with GGA-PBE.

Cell and atoms, written as POSCAR:
```
ZrSnCl6
1.0
-0.397 -1.169 6.590
-0.204 -6.301 2.280
5.888 -2.559 3.312
Zr Sn Cl
1 1 6
Direct
0.000 0.000 0.000
0.500 0.500 0.500
0.072 0.387 0.765
0.776 0.072 0.765
0.613 0.224 0.235
0.224 0.928 0.235
0.928 0.613 0.235
0.387 0.776 0.765
```

## Properties
Space-group type: No. 148
DOS(E_F) in states/eV per atom: 0.00
E_form (uncorrected) in eV per formula unit: -11.8
Excess energy over the best structure of this formula in the dataset in eV/atom: 0.009